# 1
Density functional theory data (PBE-GGA) for a geometry-optimized RuPt2W structure.

The value obtained for the magnetization is 0.0 Bohr magnetons per cell. The formation energy comes out at -0.060 eV per atom. The value obtained for the density of states at the Fermi level is 1.2720 states/eV/atom.

The structure belongs to space group C2/m (No. 12); the cell edges are 9.2691, 2.7788 and 4.7990 Å and the angles 90.00°, 100.15° and 90.00°. The asymmetric unit holds Ru at (0.0000, 0.0000, 0.0000), Pt at (0.2493, 0.5000, 0.2496) and W at (0.0000, 0.5000, 0.5000).

=====

# 2
Density functional theory data (PBE-GGA) for a geometry-optimized YHoEr2Sc structure.

The value obtained for the magnetization is 1.9 Bohr magnetons per cell. The formation energy comes out at 0.367 eV per atom. The value obtained for the density of states at the Fermi level is 1.6242 states/eV/atom.

The structure belongs to space group Cmcm (No. 63); the cell edges are 6.2789, 15.9466 and 6.2838 Å and the angles 90.00°, 90.00° and 90.00°. The asymmetric unit holds Y at (0.0000, 0.2500, 0.2500), Ho at (0.0000, 0.1586, 0.7500), Er at (0.2483, 0.5000, 0.0000) and Sc at (0.0000, 0.3453, 0.7500).